# 1
Below is GaTcH2 after structural relaxation, with properties calculated at the GGA-PBE level.

a b c (Å): 2.8159 2.8159 6.3806
angles (deg): 77.25 77.25 60.00
Last column: nearest neighbours and their distance in Å.
Fractional positions:
Tc (0.5000, 0.5000, 0.5000)  6 H 1.88
Ga (0.0000, 0.0000, 0.0000)  2 H 2.15
H (0.8841, 0.8841, 0.3477)  3 Tc 1.88
H (0.1159, 0.1159, 0.6523)  3 Tc 1.88

# 2
Below is GaTcH2 after structural relaxation, with properties calculated at the GGA-PBE level.

a b c (Å): 3.6951 3.6951 6.2928
angles (deg): 72.93 72.93 90.00
Last column: nearest neighbours and their distance in Å.
Fractional positions:
Tc (0.7500, 0.2500, 0.5000)  4 H 1.80
Ga (0.5000, 0.5000, 0.0000)  4 H 2.12
H (0.3750, 0.2844, 0.7500)  2 Tc 1.80
H (0.7156, 0.1250, 0.2500)  2 Tc 1.80
H (0.0344, 0.6250, 0.2500)  2 Tc 1.80
H (0.8750, 0.9656, 0.7500)  2 Tc 1.80
Ga (0.2500, 0.7500, 0.5000)  4 H 2.12
Tc (0.0000, 0.0000, 0.0000)  4 H 1.80

Number 1: polymorph energy (0 for the lowest one) 115 meV/atom. Number 2: polymorph energy (0 for the lowest one) 154 meV/atom.